(1)
CoReS3: relaxed, GGA-PBEsol.

Results
Raw formation energy: 4.3 eV per formula unit

Cell lengths 4.5650, 4.5650, 4.5650 Å; angles 90.00, 90.00, 90.00 degrees
Space group Pm-3m (No. 221)
Asymmetric unit:
Co (0.0000, 0.0000, 0.0000) (multiplicity 1)
Re (0.5000, 0.5000, 0.5000) (multiplicity 1)
S (0.0000, 0.5000, 0.5000) (multiplicity 3)

(2)
CoReSbS2: relaxed, GGA-PBEsol.

Results
Raw formation energy: 9.7 eV per formula unit

Cell lengths 5.0002, 5.0002, 4.6403 Å; angles 90.00, 90.00, 90.00 degrees
Space group P4/mmm (No. 123)
Asymmetric unit:
Co (0.0000, 0.0000, 0.0000) (multiplicity 1)
Re (0.5000, 0.5000, 0.0000) (multiplicity 1)
Sb (0.0000, 0.0000, 0.5000) (multiplicity 1)
S (0.0000, 0.5000, 0.5000) (multiplicity 2)

(3)
CoRe2Sb: relaxed, GGA-PBEsol.

Results
Raw formation energy: 2.3 eV per formula unit

Cell lengths 3.0749, 4.2949, 4.5346 Å; angles 90.00, 90.00, 90.00 degrees
Space group Pmmm (No. 47)
Asymmetric unit:
Co (0.0000, 0.0000, 0.0000) (multiplicity 1)
Re (0.0000, 0.5000, 0.5000) (multiplicity 1)
Re (0.5000, 0.0000, 0.5000) (multiplicity 1)
Sb (0.5000, 0.5000, 0.0000) (multiplicity 1)

(4)
CoRe3Sb: relaxed, GGA-PBEsol.

Results
Raw formation energy: 8.1 eV per formula unit

Cell lengths 4.4242, 4.4242, 4.4242 Å; angles 90.00, 90.00, 90.00 degrees
Space group Pm-3m (No. 221)
Asymmetric unit:
Co (0.0000, 0.0000, 0.0000) (multiplicity 1)
Re (0.0000, 0.0000, 0.5000) (multiplicity 3)
Sb (0.5000, 0.5000, 0.5000) (multiplicity 1)

(5)
Co6ReSb: relaxed, GGA-PBEsol.

Results
Raw formation energy: -0.1 eV per formula unit

Cell lengths 7.1647, 10.1255, 10.1526 Å; angles 90.00, 90.00, 90.00 degrees
Space group Cmmm (No. 65)
Asymmetric unit:
Co (0.0000, 0.0000, 0.0000) (multiplicity 2)
Co (0.0000, 0.0000, 0.5000) (multiplicity 2)
Co (0.0000, 0.2438, 0.2415) (multiplicity 8)
Co (0.0000, 0.5000, 0.0000) (multiplicity 2)
Co (0.0000, 0.5000, 0.5000) (multiplicity 2)
Co (0.2412, 0.1218, 0.3695) (multiplicity 16)
Co (0.2432, 0.1284, 0.1196) (multiplicity 16)
Re (0.0000, 0.0000, 0.2510) (multiplicity 4)
Re (0.0000, 0.2484, 0.0000) (multiplicity 4)
Sb (0.0000, 0.2518, 0.5000) (multiplicity 4)
Sb (0.0000, 0.5000, 0.2482) (multiplicity 4)

(6)
Co2ReSb: relaxed, GGA-PBEsol.

Results
Raw formation energy: 1.3 eV per formula unit

Cell lengths 3.8827, 3.8827, 3.5715 Å; angles 90.00, 90.00, 90.00 degrees
Space group P4/mmm (No. 123)
Asymmetric unit:
Co (0.0000, 0.5000, 0.0000) (multiplicity 2)
Re (0.0000, 0.0000, 0.5000) (multiplicity 1)
Sb (0.5000, 0.5000, 0.5000) (multiplicity 1)

(7)
Co2ReSb: relaxed, GGA-PBEsol.

Results
Raw formation energy: 1.4 eV per formula unit

Cell lengths 2.8160, 3.4949, 5.5534 Å; angles 90.00, 90.00, 90.00 degrees
Space group Pmm2 (No. 25)
Asymmetric unit:
Co (0.0000, 0.0000, 0.0000) (multiplicity 1)
Co (0.5000, 0.5000, 0.2393) (multiplicity 1)
Re (0.0000, 0.0000, 0.4403) (multiplicity 1)
Sb (0.5000, 0.5000, 0.7704) (multiplicity 1)

(8)
Co2ReSb: relaxed, GGA-PBEsol.

Results
Raw formation energy: 1.0 eV per formula unit

Cell lengths 2.7788, 4.1807, 4.6175 Å; angles 90.00, 90.00, 90.00 degrees
Space group Pmm2 (No. 25)
Asymmetric unit:
Co (0.0000, 0.0000, 0.0000) (multiplicity 1)
Co (0.0000, 0.5000, 0.3154) (multiplicity 1)
Re (0.5000, 0.0000, 0.4637) (multiplicity 1)
Sb (0.5000, 0.5000, 0.8470) (multiplicity 1)

(9)
CoReSb: relaxed, GGA-PBEsol.

Results
Raw formation energy: 1.4 eV per formula unit

Cell lengths 5.8111, 5.8111, 5.8111 Å; angles 90.00, 90.00, 90.00 degrees
Space group F-43m (No. 216)
Asymmetric unit:
Co (0.0000, 0.0000, 0.0000) (multiplicity 4)
Re (0.2500, 0.2500, 0.2500) (multiplicity 4)
Sb (0.2500, 0.2500, 0.7500) (multiplicity 4)

(10)
CoRe2Sb: relaxed, GGA-PBEsol.

Results
Raw formation energy: 2.2 eV per formula unit

Cell lengths 6.2066, 6.2066, 6.2066 Å; angles 90.00, 90.00, 90.00 degrees
Space group F-43m (No. 216)
Asymmetric unit:
Co (0.0000, 0.0000, 0.0000) (multiplicity 4)
Re (0.0000, 0.0000, 0.5000) (multiplicity 4)
Re (0.2500, 0.2500, 0.2500) (multiplicity 4)
Sb (0.2500, 0.2500, 0.7500) (multiplicity 4)

(11)
CoRe2Sb: relaxed, GGA-PBEsol.

Results
Raw formation energy: 1.6 eV per formula unit

Cell lengths 9.0010, 2.9619, 4.5703 Å; angles 90.00, 99.90, 90.00 degrees
Space group C2/m (No. 12)
Asymmetric unit:
Co (0.0000, 0.0000, 0.0000) (multiplicity 2)
Re (0.2329, 0.5000, 0.2171) (multiplicity 4)
Sb (0.0000, 0.5000, 0.5000) (multiplicity 2)

(12)
Sc3CoRe: relaxed, GGA-PBEsol.

Results
Distance to the lowest polymorph of the same formula: 0 meV per atom
Formation energy: 0.51 eV per atom

Cell lengths 4.5816, 4.5816, 4.5816 Å; angles 90.00, 90.00, 90.00 degrees
Space group Pm-3m (No. 221)
Asymmetric unit:
Sc (0.0000, 0.0000, 0.5000) (multiplicity 3)
Co (0.0000, 0.0000, 0.0000) (multiplicity 1)
Re (0.5000, 0.5000, 0.5000) (multiplicity 1)

The calculation returns the following total moment values, one per record and in order: 2.24 6.57 1.00 0.58 3.52 1.71 0.00 0.07 8.04 7.53 1.14 0.66 μB per cell.
The calculation returns the following total energy values, one per record and in order: -5.979 -4.930 -9.170 -8.833 -8.047 -8.014 -7.983 -8.099 -8.060 -9.181 -9.339 -7.665 eV per atom.